This record from Alexandria describes a relaxed K2CrAu crystal. The functional is PBE-GGA.

Cell lengths 6.4461, 6.4461, 6.4461 Å; angles 139.30, 127.33, 68.62 degrees
With the nearest neighbours (Å) after each atom.
Positions (direct):
Cr (0.3128, 0.8128, 0.5000)  2 Au 2.65
Au (0.4463, 0.4463, 0.0000)  2 Cr 2.65
K (0.0200, 0.0200, 0.0000)  4 K 3.57-3.89, 4 Cr 3.61-3.84, 4 Au 3.72
K (0.7210, 0.2210, 0.5000)  4 K 3.57-3.89, 4 Au 3.69-3.73, 4 Cr 3.76

Spin magnetization = 5.0 Bohr magnetons per cell
Symmetry = No. 44
ΔH_f (0 K) = 1.45 eV/f.u.
Energy relative to the lowest polymorph listed for this composition = 97 meV per atom